# 1
HfAlH2Os at its PBEsol-relaxed geometry, computed with SCAN.

Space-group type: P4/mmm (123)
Energy (eV per cell): -145.6
Magnetization (μB per formula unit): 0.00

abc: 3.7492 3.7492 4.9985
angles: 90.00 90.00 90.00
Element x y z (fractional)
Hf  0.0000  0.0000  0.5000
Os  0.0000  0.0000  0.0000
Al  0.5000  0.5000  0.5000
H  0.0000  0.5000  0.0000
H  0.5000  0.0000  0.0000

---

# 2
AlHg2H2 at its PBEsol-relaxed geometry, computed with SCAN.

Polymorph energy (0 for the lowest one) (eV/atom): 0.117
Space-group type: I4/mmm (139)
Energy (eV per cell): -148.3
Magnetization (μB per formula unit): 0.00

abc: 3.2815 3.2815 6.9467
angles: 103.66 103.66 90.00
Element x y z (fractional)
H  0.2500  0.7500  0.5000
H  0.7500  0.2500  0.5000
Hg  0.3605  0.3605  0.7209
Hg  0.6395  0.6395  0.2791
Al  0.0000  0.0000  0.0000

---

# 3
AlHg2H2 at its PBEsol-relaxed geometry, computed with SCAN.

Polymorph energy (0 for the lowest one) (eV/atom): 0.000
Space-group type: P4/mbm (127)
Energy (eV per cell): -297.7
Magnetization (μB per formula unit): 0.00

abc: 3.7375 6.9086 6.9086
angles: 90.00 90.00 90.00
Element x y z (fractional)
H  0.5000  0.3459  0.8459
H  0.5000  0.8459  0.6541
H  0.5000  0.6541  0.1541
H  0.5000  0.1541  0.3459
Hg  0.0000  0.3464  0.8464
Hg  0.0000  0.8464  0.6536
Hg  0.0000  0.6536  0.1536
Hg  0.0000  0.1536  0.3464
Al  0.0000  0.0000  0.0000
Al  0.0000  0.5000  0.5000

---

# 4
AlH6IO4 at its PBEsol-relaxed geometry, computed with SCAN.

Space-group type: C2/c (15)
Energy (eV per cell): -214.6
Magnetization (μB per formula unit): 0.00

abc: 5.1969 8.0034 8.2466
angles: 118.50 107.61 91.48
Element x y z (fractional)
Al  0.2989  0.0489  0.0978
Al  0.7011  0.9511  0.9022
H  0.0157  0.6990  0.8541
H  0.3384  0.1551  0.8541
H  0.9843  0.3010  0.1459
H  0.6616  0.8449  0.1459
H  0.6033  0.3931  0.2909
H  0.1876  0.8978  0.2909
H  0.3967  0.6069  0.7091
H  0.8124  0.1022  0.7091
H  0.6863  0.3004  0.4270
H  0.2407  0.1265  0.4270
H  0.3137  0.6996  0.5730
H  0.7593  0.8735  0.5730
I  0.1004  0.3504  0.7007
I  0.8996  0.6496  0.2993
O  0.0057  0.8362  0.9228
O  0.4172  0.0866  0.9228
O  0.9943  0.1638  0.0772
O  0.5828  0.9134  0.0772
O  0.5294  0.2994  0.3205
O  0.2911  0.0211  0.3205
O  0.4706  0.7006  0.6795
O  0.7089  0.9789  0.6795

---

# 5
Al2HIr2 at its PBEsol-relaxed geometry, computed with SCAN.

Space-group type: P4/mbm (127)
Energy (eV per cell): -324.4
Magnetization (μB per formula unit): 0.00

abc: 2.9761 6.7896 6.7896
angles: 90.00 90.00 90.00
Element x y z (fractional)
H  0.0000  0.0000  0.0000
H  0.0000  0.5000  0.5000
Ir  0.0000  0.3443  0.8443
Ir  0.0000  0.8443  0.6557
Ir  0.0000  0.6557  0.1557
Ir  0.0000  0.1557  0.3443
Al  0.5000  0.1437  0.6437
Al  0.5000  0.6437  0.8563
Al  0.5000  0.8563  0.3563
Al  0.5000  0.3563  0.1437

---

# 6
Al3HIr at its PBEsol-relaxed geometry, computed with SCAN.

Space-group type: Pm-3m (221)
Energy (eV per cell): -99.5
Magnetization (μB per formula unit): 0.00

abc: 3.8862 3.8862 3.8862
angles: 90.00 90.00 90.00
Element x y z (fractional)
H  0.0000  0.0000  0.0000
Ir  0.5000  0.5000  0.5000
Al  0.0000  0.5000  0.0000
Al  0.0000  0.0000  0.5000
Al  0.5000  0.0000  0.0000